Here is La8Si3RhI4 after structural relaxation from the Alexandria database. Energies are from PBE-GGA.

The structure belongs to space group C2/m (No. 12); the cell edges are 15.291, 8.805 and 9.339 Å and the angles 90.00°, 123.08° and 90.00°. The inequivalent atoms are La at (0.016, 0.244, 0.305), La at (0.230, 0.000, 0.698), La at (0.234, 0.500, 0.704), Si at (0.000, 0.500, 0.500), Si at (0.250, 0.250, 0.500), Rh at (0.000, 0.000, 0.500), I at (0.000, 0.000, 0.000), I at (0.000, 0.500, 0.000) and I at (0.250, 0.250, 0.000).

The crystal system is monoclinic. As for the uncorrected formation energy: -0.987 eV/atom. As for the magnetization: 0.1 μB per cell.

***

Here is MgCdCu2 after structural relaxation from the Alexandria database. Energies are from PBE-GGA.

The structure belongs to space group Pm (No. 6); the cell edges are 2.946, 4.282 and 5.349 Å and the angles 90.00°, 105.21° and 90.00°. The inequivalent atoms are Mg at (0.000, 0.000, 0.000), Cd at (0.677, 0.500, 0.343), Cu at (0.281, 0.000, 0.551) and Cu at (0.406, 0.500, 0.807).

The crystal system is monoclinic. As for the magnetization: 0.0 μB per cell. The value obtained for the formation energy is -0.027 eV per atom.

***

Here is TlCuPbBr5 after structural relaxation from the Alexandria database. Energies are from PBE-GGA.

The structure belongs to space group C2/c (No. 15); the cell edges are 8.976, 13.190 and 10.839 Å and the angles 90.00°, 113.41° and 90.00°. The inequivalent atoms are Tl at (0.000, 0.160, 0.250), Cu at (0.000, 0.178, 0.750), Pb at (0.000, 0.500, 0.000), Br at (0.000, 0.409, 0.250), Br at (0.095, 0.287, 0.616) and Br at (0.149, 0.059, 0.927).

The crystal system is monoclinic. As for the uncorrected formation energy: -0.626 eV/atom. As for the magnetization: 3.1 μB per cell.

***

Here is Nd2ErZn after structural relaxation from the Alexandria database. Energies are from PBE-GGA.

The structure belongs to space group R3m (No. 160, hexagonal axes); the cell edges are 3.6601, 3.6601 and 31.4054 Å and the angles 90.00°, 90.00° and 120.00°. The inequivalent atoms are Nd at (0.0000, 0.0000, 0.0000), Nd at (0.0000, 0.0000, 0.1856), Er at (0.0000, 0.0000, 0.7597) and Zn at (0.0000, 0.0000, 0.5930).

The crystal system is trigonal. As for the magnetization: 0.0 μB per cell. For the energy relative to the lowest polymorph listed for this composition, the calculation gives 138 meV per atom. The value obtained for the formation energy is -0.017 eV per atom.

***

Here is TmPa2Tc after structural relaxation from the Alexandria database. Energies are from PBE-GGA.

The structure belongs to space group R-3m (No. 166, hexagonal axes); the cell edges are 3.6857, 3.6857 and 26.3445 Å and the angles 90.00°, 90.00° and 120.00°. The inequivalent atoms are Tm at (0.0000, 0.0000, 0.0000), Pa at (0.0000, 0.0000, 0.2312) and Tc at (0.0000, 0.0000, 0.5000).

The crystal system is trigonal. As for the magnetization: 0.0 μB per cell. For the energy relative to the lowest polymorph listed for this composition, the calculation gives 89 meV per atom. The value obtained for the formation energy is 0.148 eV per atom.

***

Here is LaZnPb2 after structural relaxation from the Alexandria database. Energies are from PBE-GGA.

The structure belongs to space group P4/mmm (No. 123); the cell edges are 3.888, 3.888 and 7.340 Å and the angles 90.00°, 90.00° and 90.00°. The inequivalent atoms are La at (0.000, 0.000, 0.000), Zn at (0.000, 0.000, 0.500) and Pb at (0.500, 0.500, 0.289).

The crystal system is tetragonal. As for the magnetization: 0.0 μB per cell. The value obtained for the formation energy is -0.181 eV per atom.

***

Here is CoSiAg after structural relaxation from the Alexandria database. Energies are from PBE-GGA.

The structure belongs to space group F-43m (No. 216); the cell edges are 5.652, 5.652 and 5.652 Å and the angles 90.00°, 90.00° and 90.00°. The inequivalent atoms are Co at (0.000, 0.000, 0.000), Si at (0.250, 0.250, 0.750) and Ag at (0.000, 0.000, 0.500).

The crystal system is cubic. As for the uncorrected formation energy: 0.168 eV/atom. As for the magnetization: 0.0 μB per cell. For the energy relative to the lowest polymorph listed for this composition, the calculation gives 154 meV per atom.

***

Here is TlTc3 after structural relaxation from the Alexandria database. Energies are from PBE-GGA.

The structure belongs to space group P-6m2 (No. 187); the cell edges are 2.9232, 2.9232 and 8.9288 Å and the angles 90.00°, 90.00° and 120.00°. The inequivalent atoms are Tl at (0.0000, 0.0000, 0.0000), Tc at (0.0000, 0.0000, 0.5000) and Tc at (0.3333, 0.6667, 0.2718).

The crystal system is hexagonal. As for the magnetization: 0.0 μB per cell. For the energy relative to the lowest polymorph listed for this composition, the calculation gives 0 meV per atom. The value obtained for the formation energy is 0.414 eV per atom.

***

Here is YMnAs2 after structural relaxation from the Alexandria database. Energies are from PBE-GGA.

The structure belongs to space group R3m (No. 160, hexagonal axes); the cell edges are 3.4286, 3.4286 and 25.1626 Å and the angles 90.00°, 90.00° and 120.00°. The inequivalent atoms are Y at (0.0000, 0.0000, 0.0000), Mn at (0.0000, 0.0000, 0.2417), As at (0.0000, 0.0000, 0.5226) and As at (0.0000, 0.0000, 0.7554).

The crystal system is trigonal. As for the magnetization: 5.6 μB per cell. For the energy relative to the lowest polymorph listed for this composition, the calculation gives 764 meV per atom. The value obtained for the formation energy is 0.065 eV per atom.

***

Here is Mn2VNiPt after structural relaxation from the Alexandria database. Energies are from PBE-GGA.

The structure belongs to space group P4/mmm (No. 123); the cell edges are 4.767, 4.767 and 4.587 Å and the angles 90.00°, 90.00° and 90.00°. The inequivalent atoms are Mn at (0.000, 0.500, 0.000), V at (0.000, 0.000, 0.500), Ni at (0.500, 0.500, 0.500) and Pt at (0.500, 0.500, 0.000).

The crystal system is tetragonal. As for the magnetization: 10.2 μB per cell. For the energy relative to the lowest polymorph listed for this composition, the calculation gives 243 meV per atom. The value obtained for the formation energy is 1.320 eV per atom.

***

Here is Nb4MoRu2 after structural relaxation from the Alexandria database. Energies are from PBE-GGA.

The structure belongs to space group I4/mmm (No. 139); the cell edges are 4.704, 4.704 and 13.025 Å and the angles 90.00°, 90.00° and 90.00°. The inequivalent atoms are Nb at (0.000, 0.000, 0.201), Nb at (0.000, 0.500, 0.000), Mo at (0.000, 0.000, 0.000) and Ru at (0.000, 0.000, 0.384).

The crystal system is tetragonal. As for the magnetization: 0.0 μB per cell. For the energy relative to the lowest polymorph listed for this composition, the calculation gives 1040 meV per atom. The value obtained for the formation energy is 1.085 eV per atom.

***

Here is TcTeW3 after structural relaxation from the Alexandria database. Energies are from PBE-GGA.

The structure belongs to space group Pm-3m (No. 221); the cell edges are 4.764, 4.764 and 4.764 Å and the angles 90.00°, 90.00° and 90.00°. The inequivalent atoms are Tc at (0.000, 0.000, 0.000), Te at (0.500, 0.500, 0.500) and W at (0.000, 0.000, 0.500).

The crystal system is cubic. As for the uncorrected formation energy: 1.896 eV/atom. As for the magnetization: 0.0 μB per cell. For the energy relative to the lowest polymorph listed for this composition, the calculation gives 0 meV per atom.